A relaxed structure of Sc4HgRh, computed with GGA-PBE.

Computed properties:
- energy (eV per atom) = -6.031
- ΔH_f (0 K) (eV/atom) = -0.53

abc: 12.6933 12.6933 12.6933
angles: 90.00 90.00 90.00
Closest atoms and distances in Å follow each position.
Space group F-43m (No. 216)
Symmetry-distinct sites (fractional):
Sc1 0.0000 0.0000 0.1870 x24  2 Hg 2.94, 2 Rh 3.24, 2 Sc 3.24
Sc2 0.0625 0.2500 0.2500 x24  2 Rh 2.67
Sc3 0.1057 0.1057 0.6057 x16  3 Rh 2.67
Hg1 0.1630 0.1630 0.8370 x16  9 Sc 2.94-3.26, 3 Hg 3.12
Rh1 0.1044 0.1044 0.3956 x16  6 Sc 2.67